No. 1
Material: Nb2B2Ru
Method: DFT, GGA-PBEsol
State: optimized geometry

Its space group is P4/mbm. The calculation puts the formation energy at -0.639 eV/atom. The size of the total moment comes out at 0.0 Bohr magnetons per cell. The calculation puts the density at 8.712 g cm⁻³.

Cell and atoms, written as POSCAR:
```
Nb2B2Ru
1.0
-3.034 -1.554 -0.500
2.079 -2.495 -4.857
1.829 -4.579 3.135
B Nb Ru
4 4 2
Cartesian
2.423 -5.020 0.903 B
0.943 -2.052 0.657 B
1.485 -2.053 -2.625 B
2.965 -5.022 -2.379 B
-0.522 -2.393 -1.266 Nb
1.395 -6.235 -0.956 Nb
0.786 -4.311 -3.235 Nb
0.088 -4.317 1.013 Nb
1.954 -3.537 -0.861 Ru
0.000 0.000 0.000 Ru
```



No. 2
Material: NbB2RuS
Method: DFT, GGA-PBEsol
State: optimized geometry

Its space group is P4/mmm. The value obtained for the uncorrected formation energy is 1284 meV/atom. The size of the total moment comes out at 0.0 Bohr magnetons per cell. The calculation puts the density at 6.295 g cm⁻³.

Cell and atoms, written as POSCAR:
```
NbB2RuS
1.0
3.767 0.000 0.000
0.000 3.767 0.000
0.000 0.000 4.604
Ru B Nb S
1 2 1 1
Cartesian
1.883 1.883 2.302 Ru
0.000 1.883 0.000 B
1.883 0.000 0.000 B
0.000 0.000 2.302 Nb
0.000 0.000 0.000 S
```



No. 3
Material: NbB2S2
Method: DFT, GGA-PBEsol
State: optimized geometry

Its space group is P4/mbm. The value obtained for the uncorrected formation energy is -92 meV/atom. The size of the total moment comes out at 0.0 Bohr magnetons per cell. The calculation puts the density at 4.959 g cm⁻³.

Cell and atoms, written as POSCAR:
```
NbB2S2
1.0
-2.873 -0.031 0.730
-1.502 -1.550 -5.975
0.443 -6.160 1.487
B S Nb
4 4 2
Cartesian
-1.100 -5.057 -4.540 B
-0.849 -1.489 -3.403 B
0.041 -2.653 0.052 B
-0.209 -6.221 -1.085 B
-2.291 -5.654 -3.234 S
-2.419 -2.477 -3.605 S
-1.641 -2.087 -0.524 S
-1.512 -5.263 -0.154 S
0.000 0.000 0.000 Nb
-0.529 -3.855 -2.244 Nb
```